# 1
## TiTeHN2 (GGA-PBE)

Data for TiTeHN2 after structural relaxation.

The structure belongs to space group P4/mmm (No. 123); the cell edges are 3.791, 3.791 and 5.865 Å and the angles 90.00°, 90.00° and 90.00°. The distinct sites, in fractional coordinates, are Ti at (0.000, 0.000, 0.000), Te at (0.000, 0.000, 0.500), H at (0.500, 0.500, 0.500) and N at (0.000, 0.500, 0.000).

The calculation puts the total energy at -5.48 eV/atom. The value obtained for the size of the total moment is 0.0 μB/cell. The value obtained for the offset from the most stable computed form is 0 meV/atom.


# 2
## AlHgPd4 (GGA-PBE)

Data for AlHgPd4 after structural relaxation.

The structure belongs to space group P2_1/c (No. 14); the cell edges are 5.578, 7.736 and 4.983 Å and the angles 90.00°, 114.67° and 90.00°. The distinct sites, in fractional coordinates, are Al at (0.000, 0.000, 0.000), Hg at (0.500, 0.000, 0.500), Pd at (0.107, 0.167, 0.611) and Pd at (0.359, 0.655, 0.426).

The calculation puts the total energy at -4.50 eV/atom. For the energy relative to the elements, the calculation gives -0.36 eV/atom. The value obtained for the size of the total moment is 0.0 μB/cell. The value obtained for the offset from the most stable computed form is 82 meV/atom.


# 3
## AcTbPrTh (GGA-PBE)

Data for AcTbPrTh after structural relaxation.

The structure belongs to space group F-43m (No. 216); the cell edges are 8.318, 8.318 and 8.318 Å and the angles 90.00°, 90.00° and 90.00°. The distinct sites, in fractional coordinates, are Ac at (0.000, 0.000, 0.000), Tb at (0.250, 0.250, 0.750), Pr at (0.250, 0.250, 0.250) and Th at (0.000, 0.000, 0.500).

The calculation puts the total energy at -5.05 eV/atom. For the energy relative to the elements, the calculation gives 0.18 eV/atom. The value obtained for the size of the total moment is 0.0 μB/cell. The value obtained for the offset from the most stable computed form is 137 meV/atom.


# 4
## YV3Re (GGA-PBE)

Data for YV3Re after structural relaxation.

The structure belongs to space group Pm-3m (No. 221); the cell edges are 4.491, 4.491 and 4.491 Å and the angles 90.00°, 90.00° and 90.00°. The distinct sites, in fractional coordinates, are Y at (0.000, 0.000, 0.000), V at (0.000, 0.000, 0.500) and Re at (0.500, 0.500, 0.500).

The calculation puts the total energy at -6.93 eV/atom. For the energy relative to the elements, the calculation gives 2.32 eV/atom. The value obtained for the size of the total moment is 2.1 μB/cell. The value obtained for the offset from the most stable computed form is 1584 meV/atom.


# 5
## ScSnI (GGA-PBE)

Data for ScSnI after structural relaxation.

The structure belongs to space group P4/nmm (No. 129, origin choice 2); the cell edges are 4.108, 4.108 and 10.597 Å and the angles 90.00°, 90.00° and 90.00°. The distinct sites, in fractional coordinates, are Sc at (0.250, 0.250, 0.212), Sn at (0.250, 0.750, 0.000) and I at (0.250, 0.250, 0.660).

The calculation puts the total energy at -4.66 eV/atom. The value obtained for the size of the total moment is 0.0 μB/cell. For the formation energy from raw total energies, the calculation gives -0.695 eV per atom.


# 6
## KSbS2O8 (GGA-PBE)

Data for KSbS2O8 after structural relaxation.

The structure belongs to space group P2_1/c (No. 14); the cell edges are 10.632, 7.692 and 9.270 Å and the angles 90.00°, 92.30° and 90.00°. The distinct sites, in fractional coordinates, are K at (0.089, 0.194, 0.333), Sb at (0.389, 0.710, 0.687), S at (0.164, 0.706, 0.423), S at (0.370, 0.203, 0.091), O at (0.066, 0.661, 0.916), O at (0.136, 0.555, 0.333), O at (0.194, 0.655, 0.579), O at (0.241, 0.237, 0.588), O at (0.291, 0.709, 0.879), O at (0.388, 0.057, 0.208), O at (0.411, 0.135, 0.952) and O at (0.459, 0.157, 0.647).

The calculation puts the total energy at -5.93 eV/atom. The value obtained for the size of the total moment is 0.0 μB/cell. For the formation energy from raw total energies, the calculation gives -1.502 eV per atom. The value obtained for the offset from the most stable computed form is 0 meV/atom.


# 7
## Zr2ScBr (GGA-PBE)

Data for Zr2ScBr after structural relaxation.

The structure belongs to space group Cmmm (No. 65); the cell edges are 6.151, 8.773 and 3.288 Å and the angles 90.00°, 90.00° and 90.00°. The distinct sites, in fractional coordinates, are Zr at (0.250, 0.250, 0.000), Sc at (0.000, 0.000, 0.500) and Br at (0.000, 0.500, 0.500).

The calculation puts the total energy at -6.26 eV/atom. The value obtained for the size of the total moment is 0.0 μB/cell. For the formation energy from raw total energies, the calculation gives 0.018 eV per atom.


# 8
## Ba3UB2O8 (GGA-PBE)

Data for Ba3UB2O8 after structural relaxation.

The structure belongs to space group P-3m1 (No. 164); the cell edges are 5.6244, 5.6244 and 7.4591 Å and the angles 90.00°, 90.00° and 120.00°. The distinct sites, in fractional coordinates, are Ba at (0.0000, 0.0000, 0.0000), Ba at (0.3333, 0.6667, 0.7169), U at (0.0000, 0.0000, 0.5000), B at (0.3333, 0.6667, 0.2441), O at (0.1862, 0.3725, 0.3224) and O at (0.3333, 0.6667, 0.0542).

The calculation puts the total energy at -7.72 eV/atom. The value obtained for the size of the total moment is 2.0 μB/cell. For the formation energy from raw total energies, the calculation gives -2.716 eV per atom.


# 9
## NaCd7Hg12 (GGA-PBE)

Data for NaCd7Hg12 after structural relaxation.

The structure belongs to space group R-3 (No. 148, hexagonal axes); the cell edges are 13.7141, 13.7141 and 9.3330 Å and the angles 90.00°, 90.00° and 120.00°. The distinct sites, in fractional coordinates, are Na at (0.0000, 0.0000, 0.0000), Cd at (0.0000, 0.0000, 0.5000), Cd at (0.0639, 0.5722, 0.6234), Hg at (0.0096, 0.7571, 0.5570) and Hg at (0.0389, 0.8716, 0.2536).

The calculation puts the total energy at -0.57 eV/atom. For the energy relative to the elements, the calculation gives 0.00 eV/atom. The value obtained for the size of the total moment is 0.0 μB/cell. The value obtained for the offset from the most stable computed form is 0 meV/atom.


# 10
## Y2H3 (GGA-PBE)

Data for Y2H3 after structural relaxation.

The structure belongs to space group R-3c (No. 167, hexagonal axes); the cell edges are 5.7823, 5.7823 and 14.1085 Å and the angles 90.00°, 90.00° and 120.00°. The distinct sites, in fractional coordinates, are Y at (0.0000, 0.0000, 0.1335) and H at (0.0000, 0.2699, 0.2500).

The calculation puts the total energy at -5.08 eV/atom. The value obtained for the size of the total moment is 0.0 μB/cell.


# 11
## SrScSnC2 (GGA-PBE)

Data for SrScSnC2 after structural relaxation.

The structure belongs to space group P4/mmm (No. 123); the cell edges are 4.635, 4.635 and 5.289 Å and the angles 90.00°, 90.00° and 90.00°. The distinct sites, in fractional coordinates, are Sr at (0.000, 0.000, 0.000), Sc at (0.500, 0.500, 0.000), Sn at (0.500, 0.500, 0.500) and C at (0.000, 0.500, 0.500).

The calculation puts the total energy at -4.23 eV/atom. For the energy relative to the elements, the calculation gives 1.86 eV/atom. The value obtained for the size of the total moment is 0.2 μB/cell.


# 12
## Pa2VFe (GGA-PBE)

Data for Pa2VFe after structural relaxation.

The structure belongs to space group P4/mmm (No. 123); the cell edges are 4.660, 4.660 and 3.471 Å and the angles 90.00°, 90.00° and 90.00°. The distinct sites, in fractional coordinates, are Pa at (0.000, 0.500, 0.000), V at (0.000, 0.000, 0.500) and Fe at (0.500, 0.500, 0.500).

The calculation puts the total energy at -8.90 eV/atom. For the energy relative to the elements, the calculation gives 0.24 eV/atom. The value obtained for the size of the total moment is 0.0 μB/cell. The value obtained for the offset from the most stable computed form is 20 meV/atom.